# 1
Computed, not measured: BaSrHg2Bi2 after structural relaxation at the PBE level of DFT.

```
data_BaSrHg2Bi2
_cell_length_a 5.3593
_cell_length_b 5.3593
_cell_length_c 8.3296
_cell_angle_alpha 90.00
_cell_angle_beta 90.00
_cell_angle_gamma 120.00
_symmetry_space_group_name_H-M 'P -3 m 1'
_symmetry_Int_Tables_number 164
_symmetry_space_group_name_Hall '-P 3 2"'
loop_
_atom_site_label
_atom_site_fract_x
_atom_site_fract_y
_atom_site_fract_z
Ba1 0.0000 0.0000 0.0000
Sr1 0.0000 0.0000 0.5000
Hg1 0.3333 0.6667 0.3279
Bi1 0.3333 0.6667 0.7475
```

- volume (A^3/atom) = 34.53
- density of states at the Fermi level (states/eV/f.u.) = 3.59
- total magnetic moment (Bohr magnetons per cell) = 0.0
- calculated total energy (Ha/atom) = -0.095


# 2
Computed, not measured: Ba2SrHg3Bi4 after structural relaxation at the PBE level of DFT.

```
data_Ba2SrHg3Bi4
_cell_length_a 4.951
_cell_length_b 4.951
_cell_length_c 14.656
_cell_angle_alpha 90.00
_cell_angle_beta 90.00
_cell_angle_gamma 90.00
_symmetry_space_group_name_H-M 'P -4 m 2'
_symmetry_Int_Tables_number 115
_symmetry_space_group_name_Hall 'P -4 -2'
loop_
_atom_site_label
_atom_site_fract_x
_atom_site_fract_y
_atom_site_fract_z
Ba1 0.000 0.500 0.230
Sr1 0.000 0.000 0.500
Hg1 0.000 0.500 0.860
Hg2 0.500 0.500 0.500
Bi1 0.000 0.000 0.000
Bi2 0.000 0.500 0.656
Bi3 0.500 0.500 0.000
```

- volume (A^3/atom) = 35.93
- density of states at the Fermi level (states/eV/f.u.) = 4.53
- total magnetic moment (Bohr magnetons per cell) = 0.0
- calculated total energy (Ha/atom) = -0.100


# 3
Computed, not measured: BaSrHgBi2 after structural relaxation at the PBE level of DFT.

```
data_BaSrHgBi2
_cell_length_a 6.172
_cell_length_b 6.172
_cell_length_c 5.988
_cell_angle_alpha 90.00
_cell_angle_beta 90.00
_cell_angle_gamma 90.00
_symmetry_space_group_name_H-M 'P 4/m m m'
_symmetry_Int_Tables_number 123
_symmetry_space_group_name_Hall '-P 4 2'
loop_
_atom_site_label
_atom_site_fract_x
_atom_site_fract_y
_atom_site_fract_z
Ba1 0.000 0.000 0.000
Sr1 0.500 0.500 0.500
Hg1 0.500 0.500 0.000
Bi1 0.000 0.500 0.500
```

- volume (A^3/atom) = 45.63
- density of states at the Fermi level (states/eV/f.u.) = 2.16
- total magnetic moment (Bohr magnetons per cell) = 0.0
- calculated total energy (Ha/atom) = -0.094


# 4
Computed, not measured: BaTbHgBi after structural relaxation at the PBE level of DFT.

```
data_BaTbHgBi
_cell_length_a 8.065
_cell_length_b 8.065
_cell_length_c 8.065
_cell_angle_alpha 90.00
_cell_angle_beta 90.00
_cell_angle_gamma 90.00
_symmetry_space_group_name_H-M 'F -4 3 m'
_symmetry_Int_Tables_number 216
_symmetry_space_group_name_Hall 'F -4 2 3'
loop_
_atom_site_label
_atom_site_fract_x
_atom_site_fract_y
_atom_site_fract_z
Ba1 0.000 0.000 0.000
Tb1 0.000 0.000 0.500
Hg1 0.250 0.250 0.750
Bi1 0.250 0.250 0.250
```

- volume (A^3/atom) = 32.78
- density of states at the Fermi level (states/eV/f.u.) = 4.62
- total magnetic moment (Bohr magnetons per cell) = 0.0
- calculated total energy (Ha/atom) = -0.116


# 5
Computed, not measured: Ba2HgBiTe5 after structural relaxation at the PBE level of DFT.

```
data_Ba2HgBiTe5
_cell_length_a 4.660
_cell_length_b 22.001
_cell_length_c 13.333
_cell_angle_alpha 90.00
_cell_angle_beta 90.00
_cell_angle_gamma 90.00
_symmetry_space_group_name_H-M 'C m c 21'
_symmetry_Int_Tables_number 36
_symmetry_space_group_name_Hall 'C 2c -2'
loop_
_atom_site_label
_atom_site_fract_x
_atom_site_fract_y
_atom_site_fract_z
Ba1 0.000 0.113 0.000
Ba2 0.000 0.117 0.611
Hg1 0.000 0.452 0.741
Bi1 0.000 0.227 0.311
Te1 0.000 0.080 0.347
Te2 0.000 0.274 0.975
Te3 0.000 0.280 0.645
Te4 0.000 0.366 0.306
Te5 0.000 0.498 0.052
```

- E_form (uncorrected) (kJ/mol of formula units) = -738
- volume (A^3/atom) = 37.97
- density of states at the Fermi level (states/eV/f.u.) = 4.24
- total magnetic moment (Bohr magnetons per cell) = 0.0
- calculated total energy (Ha/atom) = -0.128


# 6
Computed, not measured: BaHgBi2Te after structural relaxation at the PBE level of DFT.

```
data_BaHgBi2Te
_cell_length_a 5.971
_cell_length_b 5.971
_cell_length_c 6.509
_cell_angle_alpha 90.00
_cell_angle_beta 90.00
_cell_angle_gamma 90.00
_symmetry_space_group_name_H-M 'P 4/m m m'
_symmetry_Int_Tables_number 123
_symmetry_space_group_name_Hall '-P 4 2'
loop_
_atom_site_label
_atom_site_fract_x
_atom_site_fract_y
_atom_site_fract_z
Ba1 0.000 0.000 0.000
Hg1 0.500 0.500 0.000
Bi1 0.000 0.500 0.500
Te1 0.000 0.000 0.500
```

- E_form (uncorrected) (kJ/mol of formula units) = -20
- volume (A^3/atom) = 46.41
- density of states at the Fermi level (states/eV/f.u.) = 2.38
- total magnetic moment (Bohr magnetons per cell) = 0.0
- calculated total energy (Ha/atom) = -0.098


# 7
Computed, not measured: BaTiHg2Bi after structural relaxation at the PBE level of DFT.

```
data_BaTiHg2Bi
_cell_length_a 5.447
_cell_length_b 5.447
_cell_length_c 5.423
_cell_angle_alpha 90.00
_cell_angle_beta 90.00
_cell_angle_gamma 90.00
_symmetry_space_group_name_H-M 'P 4/m m m'
_symmetry_Int_Tables_number 123
_symmetry_space_group_name_Hall '-P 4 2'
loop_
_atom_site_label
_atom_site_fract_x
_atom_site_fract_y
_atom_site_fract_z
Ba1 0.000 0.000 0.000
Ti1 0.500 0.500 0.500
Hg1 0.000 0.500 0.500
Bi1 0.500 0.500 0.000
```

- volume (A^3/atom) = 32.18
- density of states at the Fermi level (states/eV/f.u.) = 4.41
- total magnetic moment (Bohr magnetons per cell) = 0.8
- calculated total energy (Ha/atom) = -0.116


# 8
Computed, not measured: BaTl2Hg2Bi after structural relaxation at the PBE level of DFT.

```
data_BaTl2Hg2Bi
_cell_length_a 5.996
_cell_length_b 5.996
_cell_length_c 12.948
_cell_angle_alpha 90.00
_cell_angle_beta 90.00
_cell_angle_gamma 90.00
_symmetry_space_group_name_H-M 'I 4/m m m'
_symmetry_Int_Tables_number 139
_symmetry_space_group_name_Hall '-I 4 2'
loop_
_atom_site_label
_atom_site_fract_x
_atom_site_fract_y
_atom_site_fract_z
Ba1 0.000 0.000 0.000
Tl1 0.000 0.500 0.250
Hg1 0.000 0.000 0.270
Bi1 0.000 0.000 0.500
```

- volume (A^3/atom) = 38.80
- density of states at the Fermi level (states/eV/f.u.) = 2.12
- total magnetic moment (Bohr magnetons per cell) = 0.0
- calculated total energy (Ha/atom) = -0.073


# 9
Computed, not measured: Ba3Tl2Hg2Bi4 after structural relaxation at the PBE level of DFT.

```
data_Ba3Tl2Hg2Bi4
_cell_length_a 5.2617
_cell_length_b 5.2617
_cell_length_c 17.5978
_cell_angle_alpha 90.00
_cell_angle_beta 90.00
_cell_angle_gamma 120.00
_symmetry_space_group_name_H-M 'P -3 m 1'
_symmetry_Int_Tables_number 164
_symmetry_space_group_name_Hall '-P 3 2"'
loop_
_atom_site_label
_atom_site_fract_x
_atom_site_fract_y
_atom_site_fract_z
Ba1 0.0000 0.0000 0.0000
Ba2 0.0000 0.0000 0.2659
Tl1 0.3333 0.6667 0.5601
Hg1 0.3333 0.6667 0.1710
Bi1 0.3333 0.6667 0.3655
Bi2 0.3333 0.6667 0.8816
```

- volume (A^3/atom) = 38.36
- density of states at the Fermi level (states/eV/f.u.) = 6.51
- total magnetic moment (Bohr magnetons per cell) = 0.0
- calculated total energy (Ha/atom) = -0.107


# 10
Computed, not measured: Ba2Tl6HgBi after structural relaxation at the PBE level of DFT.

```
data_Ba2Tl6HgBi
_cell_length_a 6.315
_cell_length_b 10.332
_cell_length_c 11.632
_cell_angle_alpha 90.00
_cell_angle_beta 90.00
_cell_angle_gamma 90.00
_symmetry_space_group_name_H-M 'P m m n'
_symmetry_Int_Tables_number 59
loop_
_symmetry_equiv_pos_as_xyz
'x,y,z'
'-x,-y,-z'
'-x+1/2,-y+1/2,z'
'x+1/2,y+1/2,-z'
'x+1/2,-y,-z'
'-x+1/2,y,z'
'-x,y+1/2,-z'
'x,-y+1/2,z'
loop_
_atom_site_label
_atom_site_fract_x
_atom_site_fract_y
_atom_site_fract_z
Ba1 0.250 0.016 0.216
Tl1 0.000 0.250 0.983
Tl2 0.001 0.750 0.518
Tl3 0.250 0.009 0.596
Hg1 0.250 0.250 0.759
Bi1 0.250 0.750 0.779
```

- volume (A^3/atom) = 37.94
- density of states at the Fermi level (states/eV/f.u.) = 4.75
- total magnetic moment (Bohr magnetons per cell) = 0.0
- calculated total energy (Ha/atom) = -0.088


# 11
Computed, not measured: Ba3Tl2Hg4Bi2 after structural relaxation at the PBE level of DFT.

```
data_Ba3Tl2Hg4Bi2
_cell_length_a 5.1052
_cell_length_b 5.1052
_cell_length_c 17.8616
_cell_angle_alpha 90.00
_cell_angle_beta 90.00
_cell_angle_gamma 120.00
_symmetry_space_group_name_H-M 'P -3 m 1'
_symmetry_Int_Tables_number 164
_symmetry_space_group_name_Hall '-P 3 2"'
loop_
_atom_site_label
_atom_site_fract_x
_atom_site_fract_y
_atom_site_fract_z
Ba1 0.0000 0.0000 0.0000
Ba2 0.0000 0.0000 0.2740
Tl1 0.3333 0.6667 0.5556
Hg1 0.3333 0.6667 0.3826
Hg2 0.3333 0.6667 0.8975
Bi1 0.3333 0.6667 0.1575
```

- volume (A^3/atom) = 36.65
- density of states at the Fermi level (states/eV/f.u.) = 6.59
- total magnetic moment (Bohr magnetons per cell) = 0.0
- calculated total energy (Ha/atom) = -0.081


# 12
Computed, not measured: Ba2TlHg4Bi2 after structural relaxation at the PBE level of DFT.

```
data_Ba2TlHg4Bi2
_cell_length_a 7.377
_cell_length_b 7.377
_cell_length_c 11.351
_cell_angle_alpha 90.00
_cell_angle_beta 90.00
_cell_angle_gamma 90.00
_symmetry_space_group_name_H-M 'I 4/m m m'
_symmetry_Int_Tables_number 139
_symmetry_space_group_name_Hall '-I 4 2'
loop_
_atom_site_label
_atom_site_fract_x
_atom_site_fract_y
_atom_site_fract_z
Ba1 0.000 0.500 0.250
Tl1 0.000 0.000 0.000
Hg1 0.211 0.211 0.500
Bi1 0.000 0.000 0.275
```

- volume (A^3/atom) = 34.32
- density of states at the Fermi level (states/eV/f.u.) = 4.84
- total magnetic moment (Bohr magnetons per cell) = 0.0
- calculated total energy (Ha/atom) = -0.076